# 1
Entry from Alexandria via LeMat-Bulk: an optimized crystal structure of ThMgCdIr (GGA-PBE).

POSCAR file:
```
ThMgCdIr
1.0
-1.210 -4.847 0.132
1.243 -2.990 -3.806
3.566 -3.451 0.594
Mg Ir Th Cd
1 1 1 1
Direct
0.500 0.500 0.500
0.750 0.750 0.750
0.000 0.000 0.000
0.250 0.250 0.250
```

Properties
The value obtained for the electronic total energy is -5.010 eV per atom. The total magnetic moment is 0.0000 μB/atom. The calculated density is 10.56 Mg/m³. The calculation puts the density of states at the Fermi level at 1.81 states/eV/f.u.

---

# 2
Entry from Alexandria via LeMat-Bulk: an optimized crystal structure of YMgCdIr (GGA-PBE).

POSCAR file:
```
YMgCdIr
1.0
-0.070 4.682 1.307
-3.171 1.542 3.347
1.568 1.316 4.410
Y Mg Ir Cd
1 1 1 1
Direct
0.750 0.750 0.750
0.250 0.250 0.250
0.500 0.500 0.500
0.000 0.000 0.000
```

Properties
The value obtained for the electronic total energy is -4.828 eV per atom. The total magnetic moment is 0.0000 μB/atom. The calculated density is 8.54 Mg/m³. The calculation puts the density of states at the Fermi level at 3.09 states/eV/f.u.

---

# 3
Entry from Alexandria via LeMat-Bulk: an optimized crystal structure of MgZrCdIr (GGA-PBE).

POSCAR file:
```
MgZrCdIr
1.0
3.190 0.000 0.000
0.000 3.190 0.000
0.000 0.000 7.537
Mg Zr Cd Ir
1 1 1 1
Direct
0.500 0.500 0.351
0.500 0.500 0.782
0.000 0.000 0.085
0.000 0.000 0.568
```

Properties
The value obtained for the electronic total energy is -5.403 eV per atom. The total magnetic moment is 0.0003 μB/atom. The calculated density is 9.10 Mg/m³. The calculation puts the density of states at the Fermi level at 3.04 states/eV/f.u.

---

# 4
Entry from Alexandria via LeMat-Bulk: an optimized crystal structure of MnCd2Ir (GGA-PBE).

POSCAR file:
```
MnCd2Ir
1.0
4.908 0.017 0.000
-1.634 4.628 0.000
0.000 0.000 3.043
Cd Ir Mn
2 1 1
Direct
0.000 0.000 0.000
0.500 0.500 0.000
0.500 0.000 0.500
0.000 0.500 0.500
```

Properties
The energy relative to the lowest polymorph listed for this composition comes out at 149.1 meV/atom. The total magnetic moment is 1.0213 μB/atom. The calculated density is 11.32 Mg/m³. The calculation puts the density of states at the Fermi level at 1.48 states/eV/f.u.

---

> Number 2 is which compound?

YMgCdIr